Material: K2TlH6Rh
Method: DFT, PBE
State: relaxed

Values from the calculation:
As for the symmetry: P-3m1 (164). The calculated total energy comes out at -3.37 eV per atom.

The structure in POSCAR format:
```
K2TlH6Rh
1.0
6.647 0.000 0.000
0.000 5.739 0.000
0.000 -2.869 4.970
H K Tl Rh
6 2 1 1
Direct
0.150 0.863 0.727 H
0.150 0.273 0.137 H
0.850 0.137 0.273 H
0.850 0.727 0.863 H
0.150 0.863 0.137 H
0.850 0.137 0.863 H
0.132 0.333 0.667 K
0.868 0.667 0.333 K
0.500 0.000 0.000 Tl
0.000 0.000 0.000 Rh
```